This record from the Alexandria database describes a relaxed structure of TiB6O6. The functional is PBE.

Calculated values
density of states at the Fermi level	6.24	states/eV/cell
size of the total moment	0.117	μB per atom
ΔE_f (raw)	-1340.0	meV per atom

Cell lengths 8.863, 7.821, 6.223 Å; angles 90.00, 133.66, 90.00 degrees
Space group C2/m (No. 12)
Inequivalent atoms, fractional coordinates:
Ti1 0.000 0.000 0.000 (multiplicity 2)
B1 0.196 0.000 0.854 (multiplicity 4)
B2 0.247 0.343 0.428 (multiplicity 8)
O1 0.232 0.500 0.530 (multiplicity 4)
O2 0.243 0.151 0.783 (multiplicity 8)